Record 1
First-principles (PBE) data for a relaxed structure of HoFeSi2Ag, as listed in OQMD.

For the final energy, the calculation gives -5.716 eV/atom. Its total magnetization is 3.9 μB/cell.

The structure belongs to space group I-4m2 (No. 119); the cell edges are 4.055, 4.055 and 10.195 Å and the angles 90.00°, 90.00° and 90.00°. The distinct sites, in fractional coordinates, are Ho at (0.000, 0.000, 0.000), Fe at (0.000, 0.500, 0.250), Si at (0.000, 0.000, 0.385) and Ag at (0.000, 0.500, 0.750).

***

Record 2
First-principles (PBE) data for a relaxed structure of FeAg2I4, as listed in OQMD.

For the final energy, the calculation gives -3.075 eV/atom. Its total magnetization is 8.0 μB/cell.

The structure belongs to space group I-4 (No. 82); the cell edges are 6.346, 6.346 and 12.629 Å and the angles 90.00°, 90.00° and 90.00°. The distinct sites, in fractional coordinates, are Fe at (0.000, 0.000, 0.000), Ag at (0.000, 0.000, 0.500), Ag at (0.000, 0.500, 0.750) and I at (0.219, 0.751, 0.125).